[1]
# KNa2TlAg | Alexandria | PBE | relaxed
data_KNa2TlAg
_chemical_formula_sum 'K1 Na2 Tl1 Ag1'
_space_group_name_H-M_alt 'P 4/m m m'
_space_group_IT_number 123
_space_group_name_Hall '-P 4 2'
_cell_length_a 5.781
_cell_length_b 5.781
_cell_length_c 5.480
_cell_angle_alpha 90.00
_cell_angle_beta 90.00
_cell_angle_gamma 90.00
loop_
_atom_site_label
_atom_site_type_symbol
_atom_site_fract_x
_atom_site_fract_y
_atom_site_fract_z
_atom_site_occupancy
K1 K 0.000 0.000 0.000 1
Na1 Na 0.000 0.500 0.500 1
Tl1 Tl 0.500 0.500 0.000 1
Ag1 Ag 0.500 0.500 0.500 1
# ΔH_f (0 K) = 1.80 kJ per mole of atoms
# DOS(E_F) = 0.51 states/eV/atom
# M_tot = 0.0 μB/cell

[2]
# CsCaCuSb2 | Alexandria | PBE | relaxed
data_CsCaCuSb2
_chemical_formula_sum 'Cs1 Ca1 Cu1 Sb2'
_space_group_name_H-M_alt 'P 4/m m m'
_space_group_IT_number 123
_space_group_name_Hall '-P 4 2'
_cell_length_a 6.180
_cell_length_b 6.180
_cell_length_c 5.213
_cell_angle_alpha 90.00
_cell_angle_beta 90.00
_cell_angle_gamma 90.00
loop_
_atom_site_label
_atom_site_type_symbol
_atom_site_fract_x
_atom_site_fract_y
_atom_site_fract_z
_atom_site_occupancy
Cs1 Cs 0.000 0.000 0.000 1
Ca1 Ca 0.500 0.500 0.500 1
Cu1 Cu 0.000 0.000 0.500 1
Sb1 Sb 0.000 0.500 0.000 1
# DOS(E_F) = 0.70 states/eV/atom
# E_form (uncorrected) = 22.01 kcal/mol of atoms
# M_tot = 0.0 μB/cell

- M_tot of number 2 (CsCaCuSb2)?
  0.0 μB/cell